Record 1
An optimized crystal structure of Sr4Tl3In. Source: Alexandria, functional PBE-GGA.

CIF file:
```
data_Sr4Tl3In
_chemical_formula_sum 'Sr8 Tl6 In2'
_symmetry_space_group_name_H-M 'C 1 2/m 1'
_symmetry_Int_Tables_number 12
_symmetry_space_group_name_Hall '-C 2y'
_cell_length_a 17.467
_cell_length_b 5.766
_cell_length_c 5.766
_cell_angle_alpha 90.00
_cell_angle_beta 109.22
_cell_angle_gamma 90.00
loop_
_atom_site_label
_atom_site_fract_x
_atom_site_fract_y
_atom_site_fract_z
_atom_site_occupancy
Sr1 0.125 0.000 0.125 1
Sr2 0.125 0.500 0.625 1
Tl1 0.000 0.000 0.500 1
Tl2 0.249 0.500 0.249 1
In1 0.000 0.500 0.000 1
```

Properties
ΔE_f in eV/atom: -0.43
E_tot in eV/atom: -2.50



Record 2
An optimized crystal structure of NdGe2Ir2Pt. Source: Alexandria, functional PBE-GGA.

CIF file:
```
data_NdGe2Ir2Pt
_chemical_formula_sum 'Nd1 Ge2 Ir2 Pt1'
_symmetry_space_group_name_H-M 'P 4/m m m'
_symmetry_Int_Tables_number 123
_symmetry_space_group_name_Hall '-P 4 2'
_cell_length_a 4.683
_cell_length_b 4.683
_cell_length_c 5.565
_cell_angle_alpha 90.00
_cell_angle_beta 90.00
_cell_angle_gamma 90.00
loop_
_atom_site_label
_atom_site_fract_x
_atom_site_fract_y
_atom_site_fract_z
_atom_site_occupancy
Nd1 0.000 0.000 0.000 1
Ge1 0.000 0.500 0.500 1
Ir1 0.500 0.500 0.234 1
Pt1 0.000 0.000 0.500 1
```

Properties
ΔE_f in eV/atom: -0.10
E_tot in eV/atom: -6.39